[1]
Entry from the Alexandria database: an optimized crystal structure of AlTcPS2 (PBE).

Relative energy among the computed polymorphs: 0 meV per atom
Uncorrected formation energy: 1.92 eV/f.u.
Total magnetic moment: 0.000 μB/atom
DOS at the Fermi energy: 0.936 states/eV per atom
Space-group type: P4/mmm

a b c (Å): 4.719 4.719 4.574
angles (deg): 90.00 90.00 90.00
Element x y z (fractional)
Al1 0.000 0.000 0.000
Tc1 0.500 0.500 0.500
P1 0.500 0.500 0.000
S1 0.000 0.500 0.500
S2 0.500 0.000 0.500



[2]
Entry from the Alexandria database: an optimized crystal structure of AlTeP2S (PBE).

Relative energy among the computed polymorphs: 614 meV per atom
Uncorrected formation energy: 5.31 eV/f.u.
Total magnetic moment: 0.000 μB/atom
DOS at the Fermi energy: 0.851 states/eV per atom
Space-group type: P4/mmm

a b c (Å): 5.072 5.072 5.065
angles (deg): 90.00 90.00 90.00
Element x y z (fractional)
Al1 0.000 0.000 0.000
Te1 0.500 0.500 0.500
P1 0.000 0.500 0.500
P2 0.500 0.000 0.500
S1 0.500 0.500 0.000



[3]
Entry from the Alexandria database: an optimized crystal structure of AlTePS2 (PBE).

Relative energy among the computed polymorphs: 0 meV per atom
Uncorrected formation energy: 1.24 eV/f.u.
Total magnetic moment: 0.000 μB/atom
DOS at the Fermi energy: 0.848 states/eV per atom
Space-group type: P4/mmm

a b c (Å): 4.573 4.573 4.829
angles (deg): 90.00 90.00 90.00
Element x y z (fractional)
Al1 0.000 0.000 0.000
Te1 0.500 0.500 0.500
P1 0.000 0.000 0.500
S1 0.000 0.500 0.000
S2 0.500 0.000 0.000



[4]
Entry from the Alexandria database: an optimized crystal structure of AlTeP2S (PBE).

Relative energy among the computed polymorphs: 0 meV per atom
Uncorrected formation energy: 2.24 eV/f.u.
Total magnetic moment: 0.000 μB/atom
DOS at the Fermi energy: 0.635 states/eV per atom
Space-group type: P4/mmm

a b c (Å): 4.762 4.762 4.485
angles (deg): 90.00 90.00 90.00
Element x y z (fractional)
Al1 0.000 0.000 0.000
Te1 0.500 0.500 0.500
P1 0.000 0.500 0.000
P2 0.500 0.000 0.000
S1 0.000 0.000 0.500



[5]
Entry from the Alexandria database: an optimized crystal structure of AlTlP2S (PBE).

Relative energy among the computed polymorphs: 0 meV per atom
Uncorrected formation energy: 1.68 eV/f.u.
Total magnetic moment: 0.167 μB/atom
DOS at the Fermi energy: 0.737 states/eV per atom
Space-group type: P4/mmm

a b c (Å): 4.785 4.785 4.754
angles (deg): 90.00 90.00 90.00
Element x y z (fractional)
Al1 0.000 0.000 0.000
Tl1 0.500 0.500 0.500
P1 0.000 0.500 0.000
P2 0.500 0.000 0.000
S1 0.000 0.000 0.500



[6]
Entry from the Alexandria database: an optimized crystal structure of AlTlP2S8 (PBE).

Uncorrected formation energy: -2.51 eV/f.u.
Total magnetic moment: 0.173 μB/atom
DOS at the Fermi energy: 0.785 states/eV per atom
Space-group type: R-3

a b c (Å): 9.719 9.719 9.719
angles (deg): 35.23 35.23 35.23
Element x y z (fractional)
Al1 0.000 0.000 0.000
Tl1 0.500 0.500 0.500
P1 0.260 0.260 0.260
P2 0.740 0.740 0.740
S1 0.060 0.383 0.715
S2 0.186 0.186 0.186
S3 0.285 0.940 0.617
S4 0.383 0.715 0.060
S5 0.617 0.285 0.940
S6 0.715 0.060 0.383
S7 0.814 0.814 0.814
S8 0.940 0.617 0.285



[7]
Entry from the Alexandria database: an optimized crystal structure of AlTlP2S (PBE).

Relative energy among the computed polymorphs: 265 meV per atom
Uncorrected formation energy: 3.00 eV/f.u.
Total magnetic moment: 0.000 μB/atom
DOS at the Fermi energy: 0.616 states/eV per atom
Space-group type: P4/mmm

a b c (Å): 4.775 4.775 4.660
angles (deg): 90.00 90.00 90.00
Element x y z (fractional)
Al1 0.000 0.000 0.000
Tl1 0.500 0.500 0.000
P1 0.000 0.500 0.500
P2 0.500 0.000 0.500
S1 0.000 0.000 0.500



[8]
Entry from the Alexandria database: an optimized crystal structure of AlVP2S (PBE).

Relative energy among the computed polymorphs: 596 meV per atom
Uncorrected formation energy: 4.09 eV/f.u.
Total magnetic moment: 0.005 μB/atom
DOS at the Fermi energy: 1.577 states/eV per atom
Space-group type: P4/mmm

a b c (Å): 4.557 4.557 4.579
angles (deg): 90.00 90.00 90.00
Element x y z (fractional)
Al1 0.000 0.000 0.000
V1 0.500 0.500 0.500
P1 0.000 0.500 0.000
P2 0.500 0.000 0.000
S1 0.000 0.000 0.500



[9]
Entry from the Alexandria database: an optimized crystal structure of AlVPS2 (PBE).

Relative energy among the computed polymorphs: 317 meV per atom
Uncorrected formation energy: 1.87 eV/f.u.
Total magnetic moment: 0.467 μB/atom
DOS at the Fermi energy: 1.062 states/eV per atom
Space-group type: P4/mmm

a b c (Å): 4.594 4.594 4.566
angles (deg): 90.00 90.00 90.00
Element x y z (fractional)
Al1 0.000 0.000 0.000
V1 0.500 0.500 0.500
P1 0.000 0.000 0.500
S1 0.000 0.500 0.000
S2 0.500 0.000 0.000



[10]
Entry from the Alexandria database: an optimized crystal structure of AlVP2S (PBE).

Relative energy among the computed polymorphs: 0 meV per atom
Uncorrected formation energy: 1.11 eV/f.u.
Total magnetic moment: 0.000 μB/atom
DOS at the Fermi energy: 0.639 states/eV per atom
Space-group type: P4/mmm

a b c (Å): 4.627 4.627 4.457
angles (deg): 90.00 90.00 90.00
Element x y z (fractional)
Al1 0.000 0.000 0.000
V1 0.500 0.500 0.500
P1 0.000 0.500 0.500
P2 0.500 0.000 0.500
S1 0.500 0.500 0.000



[11]
Entry from the Alexandria database: an optimized crystal structure of AlVPS2 (PBE).

Relative energy among the computed polymorphs: 0 meV per atom
Uncorrected formation energy: 0.29 eV/f.u.
Total magnetic moment: 0.000 μB/atom
DOS at the Fermi energy: 0.643 states/eV per atom
Space-group type: P4/mmm

a b c (Å): 4.522 4.522 4.726
angles (deg): 90.00 90.00 90.00
Element x y z (fractional)
Al1 0.000 0.000 0.000
V1 0.500 0.500 0.500
P1 0.500 0.500 0.000
S1 0.000 0.500 0.500
S2 0.500 0.000 0.500



[12]
Entry from the Alexandria database: an optimized crystal structure of AlPWS2 (PBE).

Relative energy among the computed polymorphs: 0 meV per atom
Uncorrected formation energy: 1.32 eV/f.u.
Total magnetic moment: 0.000 μB/atom
DOS at the Fermi energy: 0.958 states/eV per atom
Space-group type: P4/mmm

a b c (Å): 4.691 4.691 4.810
angles (deg): 90.00 90.00 90.00
Element x y z (fractional)
Al1 0.000 0.000 0.000
P1 0.500 0.500 0.000
W1 0.500 0.500 0.500
S1 0.000 0.500 0.500
S2 0.500 0.000 0.500



[13]
Entry from the Alexandria database: an optimized crystal structure of AlPWS2 (PBE).

Relative energy among the computed polymorphs: 651 meV per atom
Uncorrected formation energy: 4.58 eV/f.u.
Total magnetic moment: 0.457 μB/atom
DOS at the Fermi energy: 0.440 states/eV per atom
Space-group type: P4/mmm

a b c (Å): 4.496 4.496 4.566
angles (deg): 90.00 90.00 90.00
Element x y z (fractional)
Al1 0.000 0.000 0.000
P1 0.000 0.000 0.500
W1 0.500 0.500 0.500
S1 0.000 0.500 0.000
S2 0.500 0.000 0.000



[14]
Entry from the Alexandria database: an optimized crystal structure of YAl2PS (PBE).

Uncorrected formation energy: 0.41 eV/f.u.
Total magnetic moment: 0.000 μB/atom
DOS at the Fermi energy: 0.573 states/eV per atom
Space-group type: P4/mmm

a b c (Å): 4.641 4.641 4.912
angles (deg): 90.00 90.00 90.00
Element x y z (fractional)
Y1 0.000 0.000 0.000
Al1 0.000 0.500 0.500
Al2 0.500 0.000 0.500
P1 0.500 0.500 0.000
S1 0.500 0.500 0.500